The following is a PBE calculation of a geometry-optimized MnTlTe2 structure, from Alexandria via LeMat-Bulk.

a b c (Å): 3.830 4.596 7.705
angles (deg): 78.61 90.00 90.00
Positions (direct):
Mn1 0.500 0.750 0.750
Te1 0.000 0.829 0.975
Te2 0.000 0.671 0.525
Tl1 0.500 0.250 0.250

Space-group type: P2/m
Energy (eV/atom): -4.5692
Energy relative to the elements, uncorrected (eV/atom): -0.11